Material: Pb3Br5
Method: DFT, PBE-GGA
State: optimized geometry

Lattice parameters (Å, degrees): 7.529 7.529 4.741 90.00 90.00 108.63
Element x y z (fractional)
Pb: 0.831 0.169 0.500
Pb: 0.169 0.831 0.500
Pb: 0.500 0.500 0.000
Br: 0.500 0.000 0.000
Br: 0.284 0.284 0.500
Br: 0.716 0.716 0.500
Br: 0.000 0.500 0.000
Br: 0.000 0.000 0.000

Computed properties:
As for the calculated density: 6.658 g cm⁻³. The value obtained for the energy above the most stable polymorph in this dataset is 0.052 eV/atom. The space group is Cmmm (65). The uncorrected formation energy is -61 kJ/mol of atoms.